A plane-wave DFT calculation with PBE was carried out for a geometry-optimized Zn2InC structure.

Cell: 6.3754 6.3754 6.3754 Å, 90.00 90.00 90.00°
Space group Fm-3m (No. 225)
One atom of each set of equivalent atoms:
Zn 0.2500 0.2500 0.2500 (multiplicity 8)
In 0.0000 0.0000 0.0000 (multiplicity 4)
C 0.0000 0.0000 0.5000 (multiplicity 4)

## Properties
Its final energy is -0.1695 Ry per atom. Its crystal system is cubic. The density of states at the Fermi level comes out at 2.7 states/eV/f.u. As for the relative energy among the computed polymorphs: 710 meV per atom.

A plane-wave DFT calculation with PBE was carried out for a geometry-optimized PaTl2SiO6 structure.

Cell: 5.8141 5.8141 29.7576 Å, 90.00 90.00 120.00°
Space group R-3m (No. 166, hexagonal axes)
One atom of each set of equivalent atoms:
Pa 0.0000 0.0000 0.0964 (multiplicity 6)
Tl 0.0000 0.0000 0.2156 (multiplicity 6)
Tl 0.0000 0.0000 0.3528 (multiplicity 6)
Si 0.0000 0.0000 0.0000 (multiplicity 3)
Si 0.0000 0.0000 0.5000 (multiplicity 3)
O 0.0339 0.5170 0.2016 (multiplicity 18)
O 0.0454 0.5227 0.6300 (multiplicity 18)

## Properties
Its final energy is -0.5152 Ry per atom. Its crystal system is trigonal. For the uncorrected formation energy, the calculation gives -20.70 eV per formula unit. The density of states at the Fermi level comes out at 3.5 states/eV/f.u.

A plane-wave DFT calculation with PBE was carried out for a geometry-optimized Hf8FeRe2 structure.

Cell: 15.6877 4.5624 6.4448 Å, 90.00 108.11 90.00°
Space group C2/m (No. 12)
One atom of each set of equivalent atoms:
Hf 0.0187 0.0000 0.2692 (multiplicity 4)
Hf 0.0970 0.5000 0.9505 (multiplicity 4)
Hf 0.1595 0.5000 0.4440 (multiplicity 4)
Hf 0.1983 0.0000 0.7839 (multiplicity 4)
Fe 0.0000 0.5000 0.5000 (multiplicity 2)
Re 0.1816 0.0000 0.1891 (multiplicity 4)

## Properties
Its final energy is -0.7624 Ry per atom. Its crystal system is monoclinic. The density of states at the Fermi level comes out at 9.8 states/eV/f.u.